KLaV2 | PBE | relaxed

Cell: 4.640 4.640 11.181 Å, 78.03 78.03 90.00°
Element x y z (fractional)
K1 0.500 0.500 0.000
K2 0.250 0.750 0.500
La1 0.000 0.000 0.000
La2 0.750 0.250 0.500
V1 0.015 0.125 0.250
V2 0.735 0.625 0.250
V3 0.375 0.985 0.750
V4 0.875 0.265 0.750

Results
The value obtained for the calculated total energy is -4.6275 eV per atom. As for the energy of formation from the pure elements: 1438 meV/atom.

***

Mn2CrTc | PBE | relaxed

Cell: 4.518 4.518 4.518 Å, 132.73 132.73 69.07°
Element x y z (fractional)
Cr1 0.750 0.250 0.500
Mn1 0.000 0.000 0.000
Mn2 0.250 0.750 0.500
Tc1 0.500 0.500 0.000

Results
The value obtained for the calculated total energy is -9.4200 eV per atom. As for the energy of formation from the pure elements: 162 meV/atom.

***

Look up the calculated total energy of the first one. -4.6275 eV per atom

***

What did the first record say?
KLaV2 | PBE | relaxed

Cell: 4.640 4.640 11.181 Å, 78.03 78.03 90.00°
Element x y z (fractional)
K1 0.500 0.500 0.000
K2 0.250 0.750 0.500
La1 0.000 0.000 0.000
La2 0.750 0.250 0.500
V1 0.015 0.125 0.250
V2 0.735 0.625 0.250
V3 0.375 0.985 0.750
V4 0.875 0.265 0.750

Results
The value obtained for the calculated total energy is -4.6275 eV per atom. As for the energy of formation from the pure elements: 1438 meV/atom.

***

Number 1 is which compound? KLaV2

***

Among the records above, which one has the highest calculated total energy? KLaV2